CeCrF5, relaxed, DFT GGA+U; calculated total energy = -6.617 eV per atom; magnetization = 0.714 μB/atom
1.0
4.576 -3.645 0.000
4.576 3.645 0.000
-2.895 0.000 7.195
Ce Cr F
2 2 10
direct
0.053 0.947 0.750
0.947 0.053 0.250
0.500 0.500 0.000
0.500 0.500 0.500
0.164 0.805 0.034
0.195 0.836 0.466
0.229 0.306 0.378
0.306 0.229 0.878
0.393 0.607 0.750
0.607 0.393 0.250
0.694 0.771 0.122
0.771 0.694 0.622
0.805 0.164 0.534
0.836 0.195 0.966